Entry 1:
The following is a GGA-PBE calculation of a geometry-optimized KAg2Hg structure, from Alexandria.

a b c (Å): 5.244 5.244 5.244
angles (deg): 60.00 60.00 60.00
Sites, in units of the cell vectors:
K 0.750 0.750 0.750
Ag 0.000 0.000 0.000
Ag 0.250 0.250 0.250
Hg 0.500 0.500 0.500

Summary:
- DFT formation energy (eV per atom) = 0.107
- SG = No. 216
- E above lowest polymorph (meV per atom) = 147

***

Entry 2:
The following is a GGA-PBE calculation of a geometry-optimized KAg2Hg structure, from Alexandria.

a b c (Å): 6.372 6.372 6.372
angles (deg): 150.18 128.49 60.67
Sites, in units of the cell vectors:
Ag 0.527 0.527 0.000
Ag 0.973 0.973 0.000
Hg 0.750 0.250 0.500
K 0.250 0.750 0.500

Summary:
- DFT formation energy (eV per atom) = 0.121
- SG = No. 71
- E above lowest polymorph (meV per atom) = 161

***

Entry 3:
The following is a GGA-PBE calculation of a geometry-optimized KAg2Hg structure, from Alexandria.

a b c (Å): 4.619 4.619 4.790
angles (deg): 90.00 90.00 89.99
Sites, in units of the cell vectors:
K 0.000 0.500 0.500
Ag 0.000 0.000 0.000
Ag 0.500 0.500 0.000
Hg 0.500 0.000 0.500

Summary:
- DFT formation energy (eV per atom) = 0.155
- SG = No. 123
- E above lowest polymorph (meV per atom) = 196

***

Entry 4:
The following is a GGA-PBE calculation of a geometry-optimized KLaAgHg structure, from Alexandria.

a b c (Å): 5.520 5.520 5.520
angles (deg): 60.00 60.00 60.00
Sites, in units of the cell vectors:
La 0.750 0.750 0.750
Hg 0.000 0.000 0.000
K 0.250 0.250 0.250
Ag 0.500 0.500 0.500

Summary:
- DFT formation energy (eV per atom) = -0.104
- SG = No. 216

***

Entry 5:
The following is a GGA-PBE calculation of a geometry-optimized KLi2AgHg structure, from Alexandria.

a b c (Å): 5.185 5.185 5.427
angles (deg): 90.00 90.00 90.00
Sites, in units of the cell vectors:
Li 0.500 0.000 0.000
Li 0.000 0.500 0.000
Hg 0.000 0.000 0.500
K 0.500 0.500 0.500
Ag 0.000 0.000 0.000

Summary:
- DFT formation energy (eV per atom) = -0.038
- SG = No. 123

***

Entry 6:
The following is a GGA-PBE calculation of a geometry-optimized KLiAgHg structure, from Alexandria.

a b c (Å): 5.208 5.208 5.208
angles (deg): 60.00 60.00 60.00
Sites, in units of the cell vectors:
K 0.250 0.250 0.250
Hg 0.750 0.750 0.750
Ag 0.000 0.000 0.000
Li 0.500 0.500 0.500

Summary:
- DFT formation energy (eV per atom) = 0.002
- SG = No. 216

***

Entry 7:
The following is a GGA-PBE calculation of a geometry-optimized KNaAgHg structure, from Alexandria.

a b c (Å): 5.572 5.572 5.572
angles (deg): 60.00 60.00 60.00
Sites, in units of the cell vectors:
K 0.000 0.000 0.000
Hg 0.750 0.750 0.750
Ag 0.250 0.250 0.250
Na 0.500 0.500 0.500

Summary:
- DFT formation energy (eV per atom) = -0.063
- SG = No. 216
- E above lowest polymorph (meV per atom) = 34

***

Entry 8:
The following is a GGA-PBE calculation of a geometry-optimized KNa2AgHg structure, from Alexandria.

a b c (Å): 5.706 5.706 5.500
angles (deg): 90.00 90.00 90.00
Sites, in units of the cell vectors:
Na 0.000 0.500 0.000
Na 0.500 0.000 0.000
K 0.500 0.500 0.500
Hg 0.000 0.000 0.500
Ag 0.000 0.000 0.000

Summary:
- DFT formation energy (eV per atom) = -0.036
- SG = No. 123
- E above lowest polymorph (meV per atom) = 0

***

Entry 9:
The following is a GGA-PBE calculation of a geometry-optimized KNaAgHg structure, from Alexandria.

a b c (Å): 5.027 5.027 6.709
angles (deg): 89.94 112.05 120.02
Sites, in units of the cell vectors:
Hg 0.487 0.608 0.095
K 0.396 0.062 0.458
Ag 0.805 0.267 0.072
Na 0.004 0.867 0.871

Summary:
- DFT formation energy (eV per atom) = -0.098
- SG = No. 160
- E above lowest polymorph (meV per atom) = 0

***

Entry 10:
The following is a GGA-PBE calculation of a geometry-optimized K2Na5AgHg2 structure, from Alexandria.

a b c (Å): 4.211 12.664 12.664
angles (deg): 90.00 90.00 90.00
Sites, in units of the cell vectors:
K 0.000 0.673 0.173
K 0.000 0.173 0.327
K 0.000 0.327 0.827
K 0.000 0.827 0.673
Hg 0.000 0.131 0.631
Hg 0.000 0.369 0.131
Hg 0.000 0.631 0.869
Hg 0.000 0.869 0.369
Na 0.500 0.500 0.000
Na 0.500 0.000 0.500
Na 0.500 0.059 0.813
Na 0.500 0.687 0.441
Na 0.500 0.559 0.687
Na 0.500 0.813 0.941
Na 0.500 0.187 0.059
Na 0.500 0.313 0.559
Na 0.500 0.941 0.187
Na 0.500 0.441 0.313
Ag 0.000 0.000 0.000
Ag 0.000 0.500 0.500

Summary:
- DFT formation energy (eV per atom) = -0.079
- SG = No. 127

***

Entry 11:
The following is a GGA-PBE calculation of a geometry-optimized KNa5AgHg2 structure, from Alexandria.

a b c (Å): 5.494 5.494 11.612
angles (deg): 90.00 90.00 90.00
Sites, in units of the cell vectors:
K 0.500 0.500 0.500
Ag 0.000 0.000 0.000
Na 0.500 0.000 0.856
Na 0.000 0.000 0.500
Na 0.000 0.500 0.144
Na 0.000 0.500 0.856
Na 0.500 0.000 0.144
Hg 0.000 0.000 0.748
Hg 0.000 0.000 0.252

Summary:
- DFT formation energy (eV per atom) = -0.024
- SG = No. 123

***

Entry 12:
The following is a GGA-PBE calculation of a geometry-optimized K2NaAgHg2 structure, from Alexandria.

a b c (Å): 6.915 6.922 9.716
angles (deg): 110.87 110.85 90.00
Sites, in units of the cell vectors:
Hg 0.165 0.891 0.782
Hg 0.383 0.609 0.218
Hg 0.835 0.109 0.218
Hg 0.617 0.391 0.782
Na 0.000 0.250 0.000
Na 0.000 0.750 0.000
K 0.073 0.328 0.656
K 0.417 0.172 0.344
K 0.583 0.828 0.656
K 0.927 0.672 0.344
Ag 0.500 0.250 0.000
Ag 0.500 0.750 0.000

Summary:
- DFT formation energy (eV per atom) = -0.162
- SG = No. 72

***

Entry 13:
The following is a GGA-PBE calculation of a geometry-optimized KNa2AgHg structure, from Alexandria.

a b c (Å): 5.761 5.761 5.527
angles (deg): 90.00 90.00 90.00
Sites, in units of the cell vectors:
Na 0.500 0.000 0.000
Na 0.000 0.500 0.000
Ag 0.000 0.000 0.500
Hg 0.000 0.000 0.000
K 0.500 0.500 0.500

Summary:
- DFT formation energy (eV per atom) = 0.008
- SG = No. 123
- E above lowest polymorph (meV per atom) = 44

***

Entry 14:
The following is a GGA-PBE calculation of a geometry-optimized KNiAgHg2 structure, from Alexandria.

a b c (Å): 5.106 5.106 5.122
angles (deg): 90.00 90.00 90.00
Sites, in units of the cell vectors:
Hg 0.000 0.500 0.000
Hg 0.500 0.000 0.000
K 0.500 0.500 0.500
Ni 0.000 0.000 0.000
Ag 0.000 0.000 0.500

Summary:
- DFT formation energy (eV per atom) = 0.022
- SG = No. 123

***

Entry 15:
The following is a GGA-PBE calculation of a geometry-optimized K8AgHg2O structure, from Alexandria.

a b c (Å): 8.076 7.447 9.111
angles (deg): 80.36 92.17 86.61
Sites, in units of the cell vectors:
Ag 0.000 0.000 0.500
K 0.619 0.737 0.482
K 0.175 0.794 0.835
K 0.946 0.270 0.771
K 0.274 0.130 0.088
K 0.054 0.730 0.229
K 0.381 0.263 0.518
K 0.726 0.870 0.912
K 0.825 0.206 0.165
O 0.000 0.000 0.000
Hg 0.474 0.555 0.148
Hg 0.526 0.445 0.852

Summary:
- SG = No. 2
- formation energy from raw total energies (eV/atom) = -0.319

***

Entry 16:
The following is a GGA-PBE calculation of a geometry-optimized K8Ag2HgO structure, from Alexandria.

a b c (Å): 7.946 7.382 9.089
angles (deg): 79.07 90.66 85.37
Sites, in units of the cell vectors:
K 0.198 0.797 0.845
K 0.270 0.137 0.093
K 0.730 0.863 0.907
K 0.401 0.270 0.521
K 0.802 0.203 0.155
K 0.599 0.730 0.479
K 0.946 0.286 0.772
K 0.054 0.714 0.228
Ag 0.523 0.443 0.859
Ag 0.477 0.557 0.141
Hg 0.000 0.000 0.500
O 0.000 0.000 0.000

Summary:
- SG = No. 2
- formation energy from raw total energies (eV/atom) = -0.267

***

Entry 17:
The following is a GGA-PBE calculation of a geometry-optimized K2AgHgO structure, from Alexandria.

a b c (Å): 5.645 5.645 4.294
angles (deg): 90.00 90.00 90.00
Sites, in units of the cell vectors:
O 0.000 0.000 0.000
K 0.000 0.500 0.000
K 0.500 0.000 0.000
Hg 0.500 0.500 0.500
Ag 0.000 0.000 0.500

Summary:
- SG = No. 123
- formation energy from raw total energies (eV/atom) = -0.494

***

Entry 18:
The following is a GGA-PBE calculation of a geometry-optimized K6Ag2HgO structure, from Alexandria.

a b c (Å): 8.499 10.300 9.832
angles (deg): 90.00 61.58 90.00
Sites, in units of the cell vectors:
O 0.500 0.000 0.500
O 0.000 0.500 0.000
Ag 0.125 0.996 0.219
Ag 0.375 0.496 0.281
Ag 0.625 0.504 0.719
Ag 0.875 0.004 0.781
K 0.767 0.503 0.287
K 0.297 0.826 0.438
K 0.790 0.331 0.942
K 0.203 0.326 0.062
K 0.710 0.831 0.558
K 0.267 0.997 0.787
K 0.797 0.674 0.938
K 0.290 0.169 0.442
K 0.733 0.003 0.213
K 0.703 0.174 0.562
K 0.210 0.669 0.058
K 0.233 0.497 0.713
Hg 0.000 0.500 0.500
Hg 0.500 0.000 0.000

Summary:
- SG = No. 14
- formation energy from raw total energies (eV/atom) = -0.332

***

Entry 19:
The following is a GGA-PBE calculation of a geometry-optimized K2AgHgO4 structure, from Alexandria.

a b c (Å): 6.598 5.760 5.760
angles (deg): 70.85 55.06 55.06
Each line ends with the local moment (μB).
Sites, in units of the cell vectors:
Hg 0.500 0.000 0.000  -0.02
Ag 0.000 0.000 0.000  0.22
K 0.000 0.500 0.500  0.00
K 0.500 0.500 0.500  0.00
O 0.625 0.000 0.297  0.16
O 0.922 0.000 0.703  0.16
O 0.078 0.297 0.000  0.16
O 0.375 0.703 0.000  0.16

Summary:
- SG = No. 121
- formation energy from raw total energies (eV/atom) = -0.363

***

Entry 20:
The following is a GGA-PBE calculation of a geometry-optimized KAgHg2Pb structure, from Alexandria.

a b c (Å): 5.518 5.518 5.549
angles (deg): 90.00 90.00 90.00
Sites, in units of the cell vectors:
Pb 0.000 0.000 0.500
Ag 0.000 0.000 0.000
Hg 0.500 0.000 0.000
Hg 0.000 0.500 0.000
K 0.500 0.500 0.500

Summary:
- DFT formation energy (eV per atom) = 0.045
- SG = No. 123
- E above lowest polymorph (meV per atom) = 0

***

Q: Which mass density values were calculated for the entries above? A: 7417; 7574; 7401; 6791; 4113; 5894; 5029; 3650; 4650; 3453; 3142; 5044; 3562; 7546; 2583; 2372; 4885; 2926; 5087; 7423, in kg/m3.
Q: Which density of states at the Fermi level values were calculated for the entries above? A: 0.325; 0.359; 0.320; 0.632; 0.486; 0.219; 0.403; 0.487; 0.480; 0.452; 0.491; 0.201; 0.408; 0.332; 0.501; 0.468; 0.391; 0.452; 0.758; 0.423, in states/eV/atom.